This record from Alexandria describes an optimized crystal structure of Li7Cd. The functional is GGA-PBE.

a = 5.9859 Å, b = 5.9859 Å, c = 5.9859 Å
α = 60.00°, β = 60.00°, γ = 60.00°
Closest atoms and distances in Å follow each position.
Element x y z (fractional)
Cd 0.0000 0.0000 0.0000  12 Li 2.99
Li 0.5000 0.0000 0.5000  10 Li 2.99, 2 Cd 2.99
Li 0.0000 0.5000 0.5000  2 Cd 2.99, 10 Li 2.99
Li 0.0000 0.0000 0.5000  10 Li 2.99, 2 Cd 2.99
Li 0.0000 0.5000 0.0000  10 Li 2.99, 2 Cd 2.99
Li 0.5000 0.0000 0.0000  10 Li 2.99, 2 Cd 2.99
Li 0.5000 0.5000 0.0000  10 Li 2.99, 2 Cd 2.99
Li 0.5000 0.5000 0.5000  12 Li 2.99

Computed properties:
The calculated formation energy is -86.1 meV/atom. Its space group is Fm-3m, No. 225.